The following is a GGA-PBE calculation of an optimized crystal structure of Cr2H3Ru, from Alexandria.

Cell lengths 4.8137, 4.8137, 5.2827 Å; angles 112.86, 112.86, 96.22 degrees
Closest atoms and distances in Å follow each position.
Atoms (fractional coordinates):
Cr (0.2047, 0.7953, 0.0000)  4 H 1.86-2.07
Cr (0.2590, 0.2590, 0.9424)  3 H 1.84-1.89
Cr (0.7410, 0.7410, 0.0576)  3 H 1.84-1.89
Cr (0.7953, 0.2047, 0.0000)  4 H 1.86-2.07
H (0.1295, 0.4218, 0.6562)  1 Ru 1.80, 2 Cr 1.86-1.89
H (0.2586, 0.2586, 0.2902)  1 Cr 1.84, 2 Ru 1.95
H (0.4218, 0.1295, 0.6562)  1 Ru 1.80, 2 Cr 1.86-1.89
H (0.5782, 0.8705, 0.3438)  1 Ru 1.80, 2 Cr 1.86-1.89
H (0.7414, 0.7414, 0.7098)  1 Cr 1.84, 2 Ru 1.95
H (0.8705, 0.5782, 0.3438)  1 Ru 1.80, 2 Cr 1.86-1.89
Ru (0.2950, 0.7050, 0.5000)  4 H 1.80-1.95
Ru (0.7050, 0.2950, 0.5000)  4 H 1.80-1.95

Values from the calculation:
Total energy, eV per atom: -6.20


The following is a GGA-PBE calculation of an optimized crystal structure of BeReRu, from Alexandria.

Cell lengths 6.3879, 6.1582, 2.6645 Å; angles 82.62, 72.95, 24.43 degrees
Closest atoms and distances in Å follow each position.
Atoms (fractional coordinates):
Be (0.0000, 0.0000, 0.0000)  2 Ru 2.33, 2 Re 2.43
Re (0.3368, 0.3368, 0.6632)  2 Be 2.43, 2 Ru 2.65, 4 Re 2.66
Ru (0.6519, 0.6519, 0.3481)  2 Be 2.33

Values from the calculation:
Formation enthalpy at 0 K, eV/atom: 0.221
Polymorph energy (0 for the lowest one), meV/atom: 436


| no. | Fermi-level density of states (states/eV/cell) |
| --- | --- |
| 1 | 5.7 |
| 2 | 2.5 |